# PuSi2

A relaxed PuSi2 crystal (PBEsol, Alexandria).

Formation energy (no corrections) ... -0.3539 eV/atom
VASP energy ... -27.7 eV for the cell shown

Geometry as POSCAR:
```
PuSi2
1.0
4.042 0.000 0.000
-2.021 3.501 0.000
0.000 0.000 3.711
Si Pu
2 1
direct
0.333 0.667 0.500 Si
0.667 0.333 0.500 Si
0.000 0.000 0.000 Pu
```